(1)
The following is a DFT calculation (PBE) of a geometry-optimized CaNd2SmTl4 structure.

Summary:
Formation energy from the elements   -3.16 eV/f.u.

```
CaNd2SmTl4
1.0
2.744 1.584 9.040
-2.744 1.584 9.040
0.000 -3.168 9.040
Ca Nd Sm Tl
1 2 1 4
direct
0.000 0.000 0.000
0.254 0.254 0.254
0.746 0.746 0.746
0.500 0.500 0.500
0.127 0.127 0.127
0.377 0.377 0.377
0.623 0.623 0.623
0.873 0.873 0.873
```

(2)
The following is a DFT calculation (PBE) of a geometry-optimized Y2SiAgCl structure.

Summary:
E_tot   -4.577 eV per atom

```
Y2SiAgCl
1.0
5.516 0.000 0.000
0.000 5.516 0.000
0.000 0.000 4.828
Y Si Ag Cl
2 1 1 1
direct
0.000 0.500 0.000
0.500 0.000 0.000
0.000 0.000 0.000
0.500 0.500 0.500
0.000 0.000 0.500
```

(3)
The following is a DFT calculation (PBE) of a geometry-optimized Li4Tc structure.

Summary:
ΔE to the lowest computed polymorph   1.15 eV per formula unit
Formation energy from the elements   4.31 eV/f.u.

```
Li4Tc
1.0
-3.057 3.057 3.057
3.057 -3.057 3.057
3.057 3.057 -3.057
Li Tc
4 1
direct
0.000 0.000 0.500
0.000 0.500 0.000
0.500 0.000 0.000
0.500 0.500 0.500
0.000 0.000 0.000
```

(4)
The following is a DFT calculation (PBE) of a geometry-optimized ZrIn4 structure.

Summary:
ΔE to the lowest computed polymorph   2.78 eV per formula unit
Formation energy from the elements   2.44 eV/f.u.

```
ZrIn4
1.0
5.649 0.000 0.000
0.000 5.649 0.000
0.000 0.000 5.649
Zr In
1 4
direct
0.000 0.000 0.000
0.000 0.000 0.500
0.000 0.500 0.000
0.500 0.000 0.000
0.500 0.500 0.500
```

Number 1: V 29.5 Å³ per atom, M_tot 0.0000 μB per atom. Number 2: V 29.4 Å³ per atom, M_tot 0.0000 μB per atom. Number 3: V 22.8 Å³ per atom, M_tot 0.4800 μB per atom. Number 4: V 36.1 Å³ per atom, M_tot 0.0002 μB per atom.